(1)
## Tm6AgSn3 (PBE-GGA)

Data for an optimized crystal structure of Tm6AgSn3.

Geometry as POSCAR:
```
Tm6AgSn3
1.0
6.5706 0.0000 0.0000
0.0000 9.4041 -0.2713
0.0000 -2.3630 9.1064
Tm Ag Sn
12 2 6
direct
0.0980 0.7433 0.6658
0.5980 0.6658 0.7433
0.2620 0.5151 0.9343
0.7620 0.9343 0.5151
0.3515 0.9343 0.0657
0.6588 0.2847 0.7153
0.1588 0.7153 0.2847
0.8515 0.0657 0.9343
0.2620 0.0657 0.4849
0.7620 0.4849 0.0657
0.0980 0.3342 0.2567
0.5980 0.2567 0.3342
0.0966 0.2216 0.7784
0.5966 0.7784 0.2216
0.4357 0.9784 0.7539
0.9357 0.7539 0.9784
0.2869 0.4172 0.5828
0.7869 0.5828 0.4172
0.9357 0.0216 0.2461
0.4357 0.2461 0.0216
```

Summary:
Calculated formation energy (eV/atom): -0.3490
SG: Cmc2_1

***

(2)
## CoMoRh2 (PBE-GGA)

Data for an optimized crystal structure of CoMoRh2.

Geometry as POSCAR:
```
CoMoRh2
1.0
-2.0900 1.6171 -0.7207
-1.0875 -2.0524 -1.4517
-3.7762 -2.2205 5.9682
Co Mo Rh
1 1 2
direct
0.5000 0.5000 0.2500
0.5000 0.5000 0.7500
0.0000 0.0000 0.0113
0.0000 0.0000 0.4887
```

Summary:
Calculated formation energy (eV/atom): -0.0455
SG: P4/mmm
Energy above the most stable polymorph in this dataset (meV per atom): 68

***

(3)
## Ca2CrAs (PBE-GGA)

Data for an optimized crystal structure of Ca2CrAs.

Geometry as POSCAR:
```
Ca2CrAs
1.0
3.5330 0.0109 0.0000
-0.0108 3.5331 0.0000
0.0000 0.0000 8.4016
Cr As Ca
1 1 2
direct
0.0000 0.0000 0.5798
0.5000 0.5000 0.6828
0.0000 0.0000 0.9316
0.5000 0.5000 0.3058
```

Summary:
Calculated formation energy (eV/atom): -0.1044
SG: P4mm

***

(4)
## LiLa2Pr2Au4 (PBE-GGA)

Data for an optimized crystal structure of LiLa2Pr2Au4.

Geometry as POSCAR:
```
LiLa2Pr2Au4
1.0
6.6970 0.2718 0.3923
-2.9763 6.0054 -0.3923
-2.9763 -2.4772 5.4848
Li La Pr Au
1 2 2 4
direct
0.0000 0.0000 0.0000
0.5000 0.7500 0.2500
0.5000 0.2500 0.7500
0.0000 0.6829 0.6829
0.0000 0.3171 0.3171
0.0000 0.7609 0.2391
0.5218 0.7609 0.7609
0.0000 0.2391 0.7609
0.4782 0.2391 0.2391
```

Summary:
Calculated formation energy (eV/atom): -0.5336
SG: I4/mmm

***

(5)
## Mg4CoSi (PBE-GGA)

Data for an optimized crystal structure of Mg4CoSi.

Geometry as POSCAR:
```
Mg4CoSi
1.0
1.4579 -1.7632 4.9470
2.9401 3.2099 3.2802
-2.2813 2.1709 4.4486
Mg Co Si
4 1 1
direct
0.8761 0.3746 0.3746
0.3746 0.3746 0.8761
0.3746 0.8761 0.3746
0.3746 0.3746 0.3746
0.0000 0.0000 0.0000
0.7500 0.7500 0.7500
```

Summary:
SG: F-43m
E_form (uncorrected) (eV per atom): 0.531

***

(6)
## Pu2MgRh (PBE-GGA)

Data for an optimized crystal structure of Pu2MgRh.

Geometry as POSCAR:
```
Pu2MgRh
1.0
-2.6059 -2.5435 -4.0550
-2.9418 -2.8340 3.6681
-8.3800 8.6184 -0.0207
Pu Mg Rh
8 4 4
direct
0.7577 0.8807 0.9125
0.2423 0.1193 0.0875
0.2577 0.6193 0.5875
0.7423 0.3807 0.4125
0.8737 0.4049 0.0926
0.1263 0.5951 0.9074
0.3737 0.0951 0.4074
0.6263 0.9049 0.5926
0.2540 0.5897 0.2834
0.7460 0.4103 0.7166
0.7540 0.9103 0.2166
0.2460 0.0897 0.7834
0.0584 0.1681 0.5882
0.9416 0.8319 0.4118
0.5584 0.3319 0.9118
0.4416 0.6681 0.0882
```

Summary:
Calculated formation energy (eV/atom): -0.0524
SG: P2_1/c
Energy above the most stable polymorph in this dataset (meV per atom): 106